A plane-wave DFT calculation with PBE-GGA was carried out for a geometry-optimized LiLaLuPd structure.

```
LiLaLuPd
1.0
-0.085 4.902 -1.458
-4.463 2.459 -0.443
-1.255 3.646 3.360
Lu La Li Pd
1 1 1 1
Direct
0.750 0.750 0.750
0.250 0.250 0.250
0.500 0.500 0.500
0.000 0.000 0.000
```

Computed properties:
Crystal system ... cubic
ΔH_f (0 K) ... -370 meV/atom
Total energy ... -4.51 eV per atom